1.
# ZrTi2NbW PBE relaxed
data_ZrTi2NbW
_chemical_formula_sum 'Zr1 Ti2 Nb1 W1'
_cell_length_a 4.6990
_cell_length_b 5.0593
_cell_length_c 4.6990
_cell_angle_alpha 90.00
_cell_angle_beta 90.00
_cell_angle_gamma 90.00
_symmetry_space_group_name_H-M 'P 1'
_symmetry_Int_Tables_number 1
_symmetry_space_group_name_Hall 'P 1'
loop_
_atom_site_label
_atom_site_type_symbol
_atom_site_fract_x
_atom_site_fract_y
_atom_site_fract_z
W1 W 0.0000 0.0000 0.0000
Zr1 Zr 0.0000 0.5000 0.0000
Ti1 Ti 0.0000 0.0000 0.5000
Ti2 Ti 0.5000 0.0000 0.0000
Nb1 Nb 0.5000 0.5000 0.5000
# **Formation energy**: 1.07 eV/atom


2.
# PrNd2Cd2 PBE relaxed
data_PrNd2Cd2
_chemical_formula_sum 'Pr2 Nd4 Cd4'
_cell_length_a 3.8554
_cell_length_b 5.5530
_cell_length_c 14.2894
_cell_angle_alpha 90.00
_cell_angle_beta 97.80
_cell_angle_gamma 90.00
_symmetry_space_group_name_H-M 'P 1'
_symmetry_Int_Tables_number 1
_symmetry_space_group_name_Hall 'P 1'
loop_
_atom_site_label
_atom_site_type_symbol
_atom_site_fract_x
_atom_site_fract_y
_atom_site_fract_z
Nd1 Nd 0.2349 0.7500 0.4719
Nd2 Nd 0.9541 0.2500 0.9086
Nd3 Nd 0.0459 0.7500 0.0914
Nd4 Nd 0.7651 0.2500 0.5281
Pr1 Pr 0.1489 0.2500 0.2945
Pr2 Pr 0.8511 0.7500 0.7055
Cd1 Cd 0.5512 0.2500 0.1010
Cd2 Cd 0.3588 0.2500 0.7182
Cd3 Cd 0.4488 0.7500 0.8990
Cd4 Cd 0.6412 0.7500 0.2818
# **Formation energy**: -0.25 eV/atom
# **Energy relative to the lowest polymorph listed for this composition**: 0.000 eV/atom


3.
# PmGa5Ni2Pd PBE relaxed
data_PmGa5Ni2Pd
_chemical_formula_sum 'Pm1 Ga5 Ni2 Pd1'
_cell_length_a 4.6667
_cell_length_b 4.6667
_cell_length_c 7.1140
_cell_angle_alpha 90.00
_cell_angle_beta 90.00
_cell_angle_gamma 90.00
_symmetry_space_group_name_H-M 'P 1'
_symmetry_Int_Tables_number 1
_symmetry_space_group_name_Hall 'P 1'
loop_
_atom_site_label
_atom_site_type_symbol
_atom_site_fract_x
_atom_site_fract_y
_atom_site_fract_z
Ni1 Ni 0.5000 0.5000 0.8208
Ni2 Ni 0.5000 0.5000 0.1792
Ga1 Ga 0.5000 0.0000 0.8045
Ga2 Ga 0.5000 0.5000 0.5000
Ga3 Ga 0.0000 0.5000 0.8045
Ga4 Ga 0.5000 0.0000 0.1955
Ga5 Ga 0.0000 0.5000 0.1955
Pd1 Pd 0.0000 0.0000 0.0000
Pm1 Pm 0.0000 0.0000 0.5000
# **Formation energy**: -0.35 eV/atom


4.
# Na3GaSb PBE relaxed
data_Na3GaSb
_chemical_formula_sum 'Na3 Ga1 Sb1'
_cell_length_a 5.4434
_cell_length_b 5.4434
_cell_length_c 5.4434
_cell_angle_alpha 90.00
_cell_angle_beta 90.00
_cell_angle_gamma 90.00
_symmetry_space_group_name_H-M 'P 1'
_symmetry_Int_Tables_number 1
_symmetry_space_group_name_Hall 'P 1'
loop_
_atom_site_label
_atom_site_type_symbol
_atom_site_fract_x
_atom_site_fract_y
_atom_site_fract_z
Na1 Na 0.0000 0.5000 0.0000
Na2 Na 0.5000 0.0000 0.0000
Na3 Na 0.0000 0.0000 0.5000
Sb1 Sb 0.5000 0.5000 0.5000
Ga1 Ga 0.0000 0.0000 0.0000
# **Formation energy (no corrections)**: 0.279 eV per atom
# **Energy relative to the lowest polymorph listed for this composition**: 0.421 eV/atom


5.
# CaInAs2 PBE relaxed
data_CaInAs2
_chemical_formula_sum 'Ca1 In1 As2'
_cell_length_a 4.0981
_cell_length_b 3.8909
_cell_length_c 7.4744
_cell_angle_alpha 58.80
_cell_angle_beta 90.00
_cell_angle_gamma 90.00
_symmetry_space_group_name_H-M 'P 1'
_symmetry_Int_Tables_number 1
_symmetry_space_group_name_Hall 'P 1'
loop_
_atom_site_label
_atom_site_type_symbol
_atom_site_fract_x
_atom_site_fract_y
_atom_site_fract_z
In1 In 0.5000 0.7500 0.7500
As1 As 0.0000 0.5570 0.4439
As2 As 0.0000 0.9430 0.0561
Ca1 Ca 0.5000 0.2500 0.2500
# **Formation energy**: -0.45 eV/atom


6.
# Tb3ErSb2 PBE relaxed
data_Tb3ErSb2
_chemical_formula_sum 'Tb3 Er1 Sb2'
_cell_length_a 4.4731
_cell_length_b 4.4731
_cell_length_c 8.4984
_cell_angle_alpha 90.00
_cell_angle_beta 90.00
_cell_angle_gamma 90.00
_symmetry_space_group_name_H-M 'P 1'
_symmetry_Int_Tables_number 1
_symmetry_space_group_name_Hall 'P 1'
loop_
_atom_site_label
_atom_site_type_symbol
_atom_site_fract_x
_atom_site_fract_y
_atom_site_fract_z
Tb1 Tb 0.0000 0.0000 0.0000
Tb2 Tb 0.5000 0.0000 0.3510
Tb3 Tb 0.0000 0.5000 0.6490
Sb1 Sb 0.0000 0.5000 0.2792
Sb2 Sb 0.5000 0.0000 0.7208
Er1 Er 0.5000 0.5000 0.0000
# **Formation energy (no corrections)**: -0.806 eV per atom
# **Energy relative to the lowest polymorph listed for this composition**: 0.000 eV/atom


7.
# Tm2MoOs3 PBE relaxed
data_Tm2MoOs3
_chemical_formula_sum 'Tm4 Mo2 Os6'
_cell_length_a 5.4334
_cell_length_b 5.4334
_cell_length_c 8.5189
_cell_angle_alpha 90.00
_cell_angle_beta 90.00
_cell_angle_gamma 120.00
_symmetry_space_group_name_H-M 'P 1'
_symmetry_Int_Tables_number 1
_symmetry_space_group_name_Hall 'P 1'
loop_
_atom_site_label
_atom_site_type_symbol
_atom_site_fract_x
_atom_site_fract_y
_atom_site_fract_z
Tm1 Tm 0.6667 0.3333 0.4346
Tm2 Tm 0.3333 0.6667 0.5654
Tm3 Tm 0.3333 0.6667 0.9346
Tm4 Tm 0.6667 0.3333 0.0654
Os1 Os 0.6538 0.8269 0.2500
Os2 Os 0.8269 0.6538 0.7500
Os3 Os 0.1731 0.3462 0.2500
Os4 Os 0.3462 0.1731 0.7500
Os5 Os 0.8269 0.1731 0.7500
Os6 Os 0.1731 0.8269 0.2500
Mo1 Mo 0.0000 0.0000 0.5000
Mo2 Mo 0.0000 0.0000 0.0000
# **Formation energy**: -0.33 eV/atom


8.
# SrCaAs2 PBE relaxed
data_SrCaAs2
_chemical_formula_sum 'Sr1 Ca1 As2'
_cell_length_a 5.0292
_cell_length_b 5.0296
_cell_length_c 4.0899
_cell_angle_alpha 90.00
_cell_angle_beta 90.00
_cell_angle_gamma 90.00
_symmetry_space_group_name_H-M 'P 1'
_symmetry_Int_Tables_number 1
_symmetry_space_group_name_Hall 'P 1'
loop_
_atom_site_label
_atom_site_type_symbol
_atom_site_fract_x
_atom_site_fract_y
_atom_site_fract_z
Ca1 Ca 0.5000 0.0000 0.5000
As1 As 0.5000 0.5000 0.0000
As2 As 0.0000 0.0000 0.0000
Sr1 Sr 0.0000 0.5000 0.5000
# **Formation energy**: -0.86 eV/atom
# **Energy relative to the lowest polymorph listed for this composition**: 0.110 eV/atom


9.
# Ba3Sr3Tl2Hg PBE relaxed
data_Ba3Sr3Tl2Hg
_chemical_formula_sum 'Ba3 Sr3 Tl2 Hg1'
_cell_length_a 4.6145
_cell_length_b 9.8882
_cell_length_c 9.8882
_cell_angle_alpha 120.00
_cell_angle_beta 90.00
_cell_angle_gamma 90.00
_symmetry_space_group_name_H-M 'P 1'
_symmetry_Int_Tables_number 1
_symmetry_space_group_name_Hall 'P 1'
loop_
_atom_site_label
_atom_site_type_symbol
_atom_site_fract_x
_atom_site_fract_y
_atom_site_fract_z
Tl1 Tl 0.5000 0.6667 0.3333
Tl2 Tl 0.5000 0.3333 0.6667
Sr1 Sr 0.0000 0.0000 0.4072
Sr2 Sr 0.0000 0.4072 0.0000
Sr3 Sr 0.0000 0.5928 0.5928
Ba1 Ba 0.5000 0.7419 0.0000
Ba2 Ba 0.5000 0.0000 0.7419
Ba3 Ba 0.5000 0.2581 0.2581
Hg1 Hg 0.0000 0.0000 0.0000
# **Formation energy**: -0.28 eV/atom


10.
# ErLuPt2 PBE relaxed
data_ErLuPt2
_chemical_formula_sum 'Er1 Lu1 Pt2'
_cell_length_a 4.8713
_cell_length_b 4.8713
_cell_length_c 4.8713
_cell_angle_alpha 60.00
_cell_angle_beta 60.00
_cell_angle_gamma 60.00
_symmetry_space_group_name_H-M 'P 1'
_symmetry_Int_Tables_number 1
_symmetry_space_group_name_Hall 'P 1'
loop_
_atom_site_label
_atom_site_type_symbol
_atom_site_fract_x
_atom_site_fract_y
_atom_site_fract_z
Pt1 Pt 0.2500 0.2500 0.2500
Pt2 Pt 0.7500 0.7500 0.7500
Er1 Er 0.0000 0.0000 0.0000
Lu1 Lu 0.5000 0.5000 0.5000
# **Formation energy**: -1.29 eV/atom
# **Energy relative to the lowest polymorph listed for this composition**: 0.000 eV/atom


11.
# BeTcGe PBE relaxed
data_BeTcGe
_chemical_formula_sum 'Be1 Tc1 Ge1'
_cell_length_a 2.8489
_cell_length_b 3.9040
_cell_length_c 3.9040
_cell_angle_alpha 120.00
_cell_angle_beta 90.00
_cell_angle_gamma 90.00
_symmetry_space_group_name_H-M 'P 1'
_symmetry_Int_Tables_number 1
_symmetry_space_group_name_Hall 'P 1'
loop_
_atom_site_label
_atom_site_type_symbol
_atom_site_fract_x
_atom_site_fract_y
_atom_site_fract_z
Ge1 Ge 0.5008 0.6667 0.3333
Be1 Be 0.4990 0.3333 0.6667
Tc1 Tc 0.0002 0.0000 0.0000
# **Formation energy**: 0.08 eV/atom
# **Energy relative to the lowest polymorph listed for this composition**: 0.106 eV/atom


12.
# Ag2TeIr PBE relaxed
data_Ag2TeIr
_chemical_formula_sum 'Ag2 Te1 Ir1'
_cell_length_a 2.9345
_cell_length_b 2.9345
_cell_length_c 9.4978
_cell_angle_alpha 90.00
_cell_angle_beta 90.00
_cell_angle_gamma 90.00
_symmetry_space_group_name_H-M 'P 1'
_symmetry_Int_Tables_number 1
_symmetry_space_group_name_Hall 'P 1'
loop_
_atom_site_label
_atom_site_type_symbol
_atom_site_fract_x
_atom_site_fract_y
_atom_site_fract_z
Ir1 Ir 0.5000 0.5000 0.2500
Ag1 Ag 0.0000 0.0000 0.4568
Ag2 Ag 0.0000 0.0000 0.0432
Te1 Te 0.5000 0.5000 0.7500
# **Formation energy (no corrections)**: 0.523 eV per atom


In the order shown, the computed D(E_F) values come out to 8.2; 12.8; 2.8; 4.1; 1.6; 4.4; 12.9; 1.6; 12.7; 1.9; 1.5; 4.6 states/eV per cell.